Record 1
Density functional theory data (PBE) for a relaxed structure of RbTlAg3.

Calculated values
Its calculated density is 4.43 Mg/m³. The value obtained for the total magnetization is 0.000 μB per cell. Its formation energy is 0.982 eV per atom. Its density of states at the Fermi level is 5.34 states/eV/cell. The value obtained for the polymorph energy (0 for the lowest one) is 355.8 kJ/mol of formula units. The calculated total energy is -1.40 eV/atom.

Geometry as extended XYZ:
```
5
Lattice="-1.8074 -4.8826 -3.2324 -1.2372 -2.9881 5.2054 -5.7235 2.1878 -0.1045" Properties=species:S:1:pos:R:3 pbc="T T T"
Tl -4.3840 -2.8415 0.9342
Ag -0.9037 -2.4413 -1.6162
Ag -2.8617 1.0939 -0.0522
Ag -0.6186 -1.4940 2.6027
Rb 0.0000 0.0000 0.0000
```

=====

Record 2
Density functional theory data (PBE) for a relaxed structure of RbTl4Ag.

Calculated values
Its calculated density is 8.53 Mg/m³. The value obtained for the total magnetization is 0.000 μB per cell. Its formation energy is -0.027 eV per atom. Its density of states at the Fermi level is 7.01 states/eV/cell. The value obtained for the polymorph energy (0 for the lowest one) is 0.0 kJ/mol of formula units. The calculated total energy is -2.24 eV/atom.

Geometry as extended XYZ:
```
12
Lattice="-4.2811 1.1921 2.1513 -4.0216 -0.1660 -7.9113 -1.8585 -8.7093 1.1275" Properties=species:S:1:pos:R:3 pbc="T T T"
Tl -0.9293 -4.3547 0.5638
Tl -5.0499 -7.6136 -0.1649
Tl -5.8068 -3.3285 -4.0457
Tl -2.8582 -1.5917 0.8597
Tl -4.3545 -4.3547 -0.5868
Tl -7.3030 -6.0915 -5.4922
Tl 0.0000 0.0000 0.0000
Tl -5.1114 -0.0697 -4.4676
Rb -2.0460 -2.2426 -2.8290
Rb -3.8341 -6.6327 -3.9547
Ag -3.6443 -2.3086 -5.9730
Ag -2.2359 -6.5667 -0.8107
```

=====

Record 3
Density functional theory data (PBE) for a relaxed structure of RbTl3Ag2.

Calculated values
Its calculated density is 8.18 Mg/m³. The value obtained for the total magnetization is 0.000 μB per cell. Its formation energy is 0.029 eV per atom. Its density of states at the Fermi level is 6.53 states/eV/cell. The calculated total energy is -2.27 eV/atom.

Geometry as extended XYZ:
```
12
Lattice="5.9650 0.0000 0.0000 0.0000 8.0279 0.2708 0.0000 -2.3938 7.6675" Properties=species:S:1:pos:R:3 pbc="T T T"
Tl 4.4738 -0.3677 3.5890
Tl 1.4913 2.1248 7.1009
Tl 4.4738 0.3759 0.5296
Tl 1.4913 5.2581 7.4087
Tl 1.4913 6.0017 4.3493
Tl 4.4738 3.5092 0.8374
Ag 0.0000 -0.1997 6.1102
Ag 0.0000 5.8337 1.8281
Ag 2.9825 -0.1997 6.1102
Ag 2.9825 5.8337 1.8281
Rb 4.4738 3.7062 5.2219
Rb 1.4913 1.9279 2.7164
```

=====

Record 4
Density functional theory data (PBE) for a relaxed structure of Rb2TlAg.

Calculated values
Its calculated density is 4.77 Mg/m³. The value obtained for the total magnetization is 0.000 μB per cell. Its formation energy is -0.004 eV per atom. Its density of states at the Fermi level is 3.00 states/eV/cell. The value obtained for the polymorph energy (0 for the lowest one) is 0.0 kJ/mol of formula units. The calculated total energy is -1.79 eV/atom.

Geometry as extended XYZ:
```
8
Lattice="6.8189 0.0000 0.0000 0.0000 6.9068 -1.6733 0.0000 0.1753 7.1045" Properties=species:S:1:pos:R:3 pbc="T T T"
Ag 5.1142 5.5036 4.2206
Ag 1.7047 1.5786 1.2106
Tl 0.0000 3.5411 2.7156
Tl 3.4095 3.5411 2.7156
Rb 5.1142 2.4170 6.3335
Rb 1.7047 4.6651 -0.9023
Rb 5.1142 6.7436 0.6916
Rb 1.7047 0.3385 4.7395
```

=====

Record 5
Density functional theory data (PBE) for a relaxed structure of RbTl3Ag.

Calculated values
Its calculated density is 7.27 Mg/m³. The value obtained for the total magnetization is 0.000 μB per cell. Its formation energy is 0.103 eV per atom. Its density of states at the Fermi level is 4.88 states/eV/cell. The value obtained for the polymorph energy (0 for the lowest one) is 65.0 kJ/mol of formula units. The calculated total energy is -2.08 eV/atom.

Geometry as extended XYZ:
```
5
Lattice="5.6903 0.0000 0.0000 0.0000 5.6903 0.0000 0.0000 0.0000 5.6903" Properties=species:S:1:pos:R:3 pbc="T T T"
Tl 2.8451 0.0000 0.0000
Tl 0.0000 2.8451 0.0000
Tl 0.0000 0.0000 2.8451
Ag 0.0000 0.0000 0.0000
Rb 2.8451 2.8451 2.8451
```

=====

Record 6
Density functional theory data (PBE) for a relaxed structure of RbTl4Ag.

Calculated values
Its calculated density is 8.40 Mg/m³. The value obtained for the total magnetization is 0.000 μB per cell. Its formation energy is 0.132 eV per atom. Its density of states at the Fermi level is 4.38 states/eV/cell. The value obtained for the polymorph energy (0 for the lowest one) is 92.4 kJ/mol of formula units. The calculated total energy is -2.08 eV/atom.

Geometry as extended XYZ:
```
6
Lattice="-2.5619 -2.7572 -5.3762 -2.6059 -6.0146 0.3209 -6.4951 -0.7932 -0.5036" Properties=species:S:1:pos:R:3 pbc="T T T"
Tl -4.0261 -5.5886 -3.2264
Tl -5.9877 -2.9549 -3.6423
Tl -7.3021 -5.9886 -3.4804
Tl -6.0099 -4.5979 -0.7688
Ag 0.0000 0.0000 0.0000
Rb -2.9157 -2.3913 -1.3897
```

=====

Record 7
Density functional theory data (PBE) for a relaxed structure of RbTl3Ag.

Calculated values
Its calculated density is 8.08 Mg/m³. The value obtained for the total magnetization is 0.000 μB per cell. Its formation energy is -0.032 eV per atom. Its density of states at the Fermi level is 4.00 states/eV/cell. The value obtained for the polymorph energy (0 for the lowest one) is 0.0 kJ/mol of formula units. The calculated total energy is -2.22 eV/atom.

Geometry as extended XYZ:
```
10
Lattice="4.8440 0.0000 0.0000 0.0000 8.0258 -3.6984 0.0000 -0.6220 8.8151" Properties=species:S:1:pos:R:3 pbc="T T T"
Tl 0.0000 7.0255 2.6824
Tl 0.0000 3.7019 2.5583
Tl 0.0000 4.9930 5.6234
Tl 0.0000 0.3784 2.4343
Tl 0.0000 2.4109 -0.5067
Tl 2.4220 0.0000 0.0000
Rb 2.4220 1.8107 5.2949
Rb 2.4220 5.5931 -0.1782
Ag 2.4220 5.0073 3.4604
Ag 2.4220 2.3966 1.6562
```

=====

Record 8
Density functional theory data (PBE) for a relaxed structure of Rb2Tl2Ag.

Calculated values
Its calculated density is 5.93 Mg/m³. The value obtained for the total magnetization is 0.000 μB per cell. Its formation energy is 0.045 eV per atom. Its density of states at the Fermi level is 7.19 states/eV/cell. The value obtained for the polymorph energy (0 for the lowest one) is 12.4 kJ/mol of formula units. The calculated total energy is -1.86 eV/atom.

Geometry as extended XYZ:
```
10
Lattice="-2.5430 2.3158 -7.0407 -4.6809 -6.2730 -0.3726 -4.6004 3.2703 2.7373" Properties=species:S:1:pos:R:3 pbc="T T T"
Tl -4.9587 -4.5708 -2.8732
Tl -5.1776 -2.0022 -6.3097
Tl -2.0464 -1.9550 -1.1035
Tl -2.2652 0.6135 -4.5401
Rb -5.9645 -2.2265 -0.1762
Rb -3.9635 1.2191 -0.9297
Rb -5.8599 1.5396 -4.4998
Rb -7.8609 -1.9060 -3.7462
Ag 0.0000 0.0000 0.0000
Ag -3.6120 -1.9786 -3.7066
```

=====

Record 9
Density functional theory data (PBE) for a relaxed structure of Rb4Tl5Ag.

Calculated values
Its calculated density is 5.52 Mg/m³. The value obtained for the total magnetization is 0.000 μB per cell. Its formation energy is -0.033 eV per atom. Its density of states at the Fermi level is 5.89 states/eV/cell. The calculated total energy is -1.89 eV/atom.

Geometry as extended XYZ:
```
10
Lattice="-6.5505 -3.0686 1.9815 0.4660 -7.2853 4.4526 -3.1723 2.4776 7.5443" Properties=species:S:1:pos:R:3 pbc="T T T"
Tl -6.7456 -8.7925 7.8884
Tl -3.0751 0.6521 6.2605
Tl -2.3680 -1.1093 0.7163
Tl -5.8249 -4.2962 3.7009
Tl -3.9958 -3.8442 10.4480
Rb -7.7048 -5.3837 10.2400
Rb -2.2283 -2.8093 3.9429
Rb -5.9147 -2.0701 7.0953
Rb -4.0184 -6.1230 7.0876
Ag -4.9095 -2.2999 1.4851
```

=====

Record 10
Density functional theory data (PBE) for a relaxed structure of RbTlAg3.

Calculated values
Its calculated density is 6.15 Mg/m³. The value obtained for the total magnetization is 0.000 μB per cell. Its formation energy is 0.244 eV per atom. Its density of states at the Fermi level is 1.72 states/eV/cell. The value obtained for the polymorph energy (0 for the lowest one) is 0.0 kJ/mol of formula units. The calculated total energy is -2.13 eV/atom.

Geometry as extended XYZ:
```
5
Lattice="5.4928 0.0000 0.0000 0.0000 5.4928 0.0000 0.0000 0.0000 5.4928" Properties=species:S:1:pos:R:3 pbc="T T T"
Ag 2.7464 0.0000 0.0000
Ag 0.0000 0.0000 2.7464
Ag 0.0000 2.7464 0.0000
Tl 0.0000 0.0000 0.0000
Rb 2.7464 2.7464 2.7464
```

=====

Record 11
Density functional theory data (PBE) for a relaxed structure of Rb2TlAg.

Calculated values
Its calculated density is 3.57 Mg/m³. The value obtained for the total magnetization is 0.000 μB per cell. Its formation energy is 0.092 eV per atom. Its density of states at the Fermi level is 6.64 states/eV/cell. The value obtained for the polymorph energy (0 for the lowest one) is 37.0 kJ/mol of formula units. The calculated total energy is -1.70 eV/atom.

Geometry as extended XYZ:
```
8
Lattice="12.7624 0.0000 0.0000 0.0000 12.7624 0.0000 6.3812 6.3812 2.7581" Properties=species:S:1:pos:R:3 pbc="T T T"
Rb 5.1881 9.5718 0.6895
Rb 9.5718 11.5693 2.0686
Rb 15.9530 13.9555 2.0686
Rb 7.5743 3.1906 0.6895
Tl 12.7624 6.3812 1.3791
Tl 0.0000 0.0000 0.0000
Ag 6.3812 12.7624 1.3791
Ag 6.3812 6.3812 0.0000
```

=====

Record 12
Density functional theory data (PBE) for a relaxed structure of RbTl3Ag3.

Calculated values
Its calculated density is 6.68 Mg/m³. The value obtained for the total magnetization is 0.000 μB per cell. Its formation energy is 0.205 eV per atom. Its density of states at the Fermi level is 8.75 states/eV/cell. The calculated total energy is -2.17 eV/atom.

Geometry as extended XYZ:
```
14
Lattice="7.9787 0.0000 0.0000 0.0000 7.9787 0.0000 0.0000 0.0000 7.9787" Properties=species:S:1:pos:R:3 pbc="T T T"
Ag 3.9893 5.9840 0.0000
Ag 5.9840 0.0000 3.9893
Ag 3.9893 1.9947 0.0000
Ag 0.0000 3.9893 5.9840
Ag 1.9947 0.0000 3.9893
Ag 0.0000 3.9893 1.9947
Tl 0.0000 5.9840 3.9893
Tl 3.9893 0.0000 5.9840
Tl 0.0000 1.9947 3.9893
Tl 3.9893 0.0000 1.9947
Tl 5.9840 3.9893 0.0000
Tl 1.9947 3.9893 0.0000
Rb 3.9893 3.9893 3.9893
Rb 0.0000 0.0000 0.0000
```

=====

> What is the formula in the fifth record?

RbTl3Ag